Record 1
A geometry-optimized NaIn2HPb structure. Source: the Alexandria database, functional PBE-GGA.

Output
The volume comes out at 112.15 Å³/cell. The value obtained for the total energy is -2.7358 eV/atom.

Cell: 4.869 4.869 4.731 Å, 90.00 90.00 90.00°
Space group P4/mmm (No. 123)
Inequivalent atoms, fractional coordinates:
1 Na 0.000 0.000 0.000 x1
2 In 0.000 0.500 0.500 x2
3 H 0.000 0.000 0.500 x1
4 Pb 0.500 0.500 0.000 x1

Record 2
A geometry-optimized TmUSe4 structure. Source: the Alexandria database, functional PBE-GGA.

Output
The volume comes out at 394.88 Å³/cell. The calculation puts the raw formation energy at -8.217 eV/f.u. Its distance to the lowest polymorph of the same formula is 0 meV per atom.

Cell: 13.811 4.127 7.003 Å, 90.00 98.39 90.00°
Space group C2/m (No. 12)
Inequivalent atoms, fractional coordinates:
1 Tm 0.000 0.000 0.000 x2
2 U 0.000 0.500 0.500 x2
3 Se 0.111 0.500 0.856 x4
4 Se 0.112 0.000 0.375 x4

Record 3
A geometry-optimized GaHPd3 structure. Source: the Alexandria database, functional PBE-GGA.

Output
The volume comes out at 89.97 Å³/cell. Its distance to the lowest polymorph of the same formula is 464 meV per atom.

Cell: 3.896 3.896 5.928 Å, 90.00 90.00 90.00°
Space group P4mm (No. 99)
Inequivalent atoms, fractional coordinates:
1 Ga 0.000 0.000 0.000 x1
2 H 0.500 0.500 0.283 x1
3 Pd 0.000 0.000 0.602 x1
4 Pd 0.000 0.500 0.272 x2

Record 4
A geometry-optimized HfFe3Pt structure. Source: the Alexandria database, functional PBE-GGA.

Output
The volume comes out at 98.04 Å³/cell. Its distance to the lowest polymorph of the same formula is 0 meV per atom. Its energy of formation from the pure elements is 0.95 eV/atom.

Cell: 4.611 4.611 4.611 Å, 90.00 90.00 90.00°
Space group Pm-3m (No. 221)
Inequivalent atoms, fractional coordinates:
1 Hf 0.000 0.000 0.000 x1
2 Fe 0.000 0.500 0.500 x3
3 Pt 0.500 0.500 0.500 x1

Record 5
A geometry-optimized PrSmTh2Rh4 structure. Source: the Alexandria database, functional PBE-GGA.

Output
The volume comes out at 766.30 Å³/cell. Its energy of formation from the pure elements is -0.73 eV/atom.

Cell: 7.875 11.431 8.513 Å, 90.00 90.00 90.00°
Space group Fmm2 (No. 42)
Inequivalent atoms, fractional coordinates:
1 Pr 0.000 0.000 0.000 x4
2 Sm 0.000 0.000 0.438 x4
3 Th 0.250 0.250 0.245 x8
4 Rh 0.000 0.243 0.497 x8
5 Rh 0.206 0.000 0.720 x8

Record 6
A geometry-optimized Tc2MoOs structure. Source: the Alexandria database, functional PBE-GGA.

Output
The volume comes out at 120.42 Å³/cell. Its distance to the lowest polymorph of the same formula is 196 meV per atom. Its energy of formation from the pure elements is 0.26 eV/atom.

Cell: 3.134 4.391 8.752 Å, 90.00 90.00 90.00°
Space group Immm (No. 71)
Inequivalent atoms, fractional coordinates:
1 Tc 0.000 0.000 0.233 x4
2 Mo 0.000 0.500 0.500 x2
3 Os 0.000 0.500 0.000 x2

Record 7
A geometry-optimized CdSiPt structure. Source: the Alexandria database, functional PBE-GGA.

Output
The volume comes out at 105.73 Å³/cell. The calculation puts the raw formation energy at -0.576 eV/f.u.

Cell: 3.362 3.362 9.353 Å, 90.00 90.00 90.00°
Space group I4mm (No. 107)
Inequivalent atoms, fractional coordinates:
1 Cd 0.000 0.000 0.000 x2
2 Si 0.000 0.000 0.294 x2
3 Pt 0.000 0.000 0.700 x2